No. 1
DFT (PBE) results for a relaxed GdEr2Tm crystal.

Energy above the most stable polymorph in this dataset: 0.002 eV/atom
Formation energy: 0.027 eV/atom
Magnetization: 1.82 μB per atom
Density of states at the Fermi level: 6.2 states/eV per cell
Electronic total energy: -6.892 eV per atom

a = 3.5230 Å, b = 3.5230 Å, c = 11.6492 Å
α = 81.30°, β = 81.30°, γ = 60.00°
Last column: magnetic moment on the atom in μB.
Fractional positions:
Gd 0.5000 0.5000 0.5000  7.15
Tm 0.0000 0.0000 0.0000  -0.04
Er 0.7490 0.7490 0.7531  -0.02
Er 0.2510 0.2510 0.2469  -0.02

---

No. 2
DFT (PBE) results for a relaxed Gd2ErTm crystal.

Energy above the most stable polymorph in this dataset: 0.002 eV/atom
Formation energy: 0.031 eV/atom
Magnetization: 3.63 μB per atom
Density of states at the Fermi level: 7.5 states/eV per cell
Electronic total energy: -9.269 eV per atom

a = 4.9765 Å, b = 5.0110 Å, c = 5.0110 Å
α = 90.00°, β = 90.00°, γ = 90.00°
Last column: magnetic moment on the atom in μB.
Fractional positions:
Gd 0.0000 0.0000 0.5000  -7.13
Gd 0.0000 0.5000 0.0000  -7.13
Tm 0.5000 0.0000 0.0000  0.04
Er 0.5000 0.5000 0.5000  0.04

---

No. 3
DFT (PBE) results for a relaxed GdErTm2 crystal.

Energy above the most stable polymorph in this dataset: 0.000 eV/atom
Formation energy: 0.026 eV/atom
Magnetization: 1.76 μB per atom
Density of states at the Fermi level: 6.8 states/eV per cell
Electronic total energy: -6.870 eV per atom

a = 4.9617 Å, b = 4.9706 Å, c = 4.9706 Å
α = 90.00°, β = 90.00°, γ = 90.00°
Last column: magnetic moment on the atom in μB.
Fractional positions:
Gd 0.5000 0.0000 0.0000  7.12
Tm 0.0000 0.0000 0.5000  -0.07
Tm 0.0000 0.5000 0.0000  -0.07
Er 0.5000 0.5000 0.5000  -0.07

---

No. 4
DFT (PBE) results for a relaxed GdEr4Tm crystal.

Formation energy: 0.246 eV/atom
Magnetization: 1.43 μB per atom
Density of states at the Fermi level: 10.4 states/eV per cell
Electronic total energy: -5.888 eV per atom

a = 6.5137 Å, b = 6.5137 Å, c = 6.5137 Å
α = 60.00°, β = 60.00°, γ = 60.00°
Last column: magnetic moment on the atom in μB.
Fractional positions:
Gd 0.2500 0.2500 0.2500  7.43
Tm 0.0000 0.0000 0.0000  -0.03
Er 0.6255 0.6255 0.1236  0.09
Er 0.6255 0.1236 0.6255  0.09
Er 0.6255 0.6255 0.6255  0.09
Er 0.1236 0.6255 0.6255  0.09

---

No. 5
DFT (PBE) results for a relaxed GdEr2Tm crystal.

Energy above the most stable polymorph in this dataset: 0.000 eV/atom
Formation energy: 0.025 eV/atom
Magnetization: 1.76 μB per atom
Density of states at the Fermi level: 6.7 states/eV per cell
Electronic total energy: -6.894 eV per atom

a = 4.9776 Å, b = 4.9731 Å, c = 4.9731 Å
α = 90.00°, β = 90.00°, γ = 90.00°
Last column: magnetic moment on the atom in μB.
Fractional positions:
Gd 0.5000 0.5000 0.5000  7.12
Tm 0.5000 0.0000 0.0000  -0.07
Er 0.0000 0.0000 0.5000  -0.07
Er 0.0000 0.5000 0.0000  -0.07

---

No. 6
DFT (PBE) results for a relaxed Gd2ErTm crystal.

Energy above the most stable polymorph in this dataset: 0.002 eV/atom
Formation energy: 0.031 eV/atom
Magnetization: 3.62 μB per atom
Density of states at the Fermi level: 7.3 states/eV per cell
Electronic total energy: -9.269 eV per atom

a = 3.5392 Å, b = 3.5392 Å, c = 9.9785 Å
α = 90.00°, β = 90.00°, γ = 90.00°
Last column: magnetic moment on the atom in μB.
Fractional positions:
Gd 0.0000 0.0000 0.7494  7.12
Gd 0.0000 0.0000 0.2506  7.12
Tm 0.5000 0.5000 0.5000  -0.04
Er 0.5000 0.5000 0.0000  -0.06

---

No. 7
DFT (PBE) results for a relaxed GdErTm2 crystal.

Energy above the most stable polymorph in this dataset: 0.003 eV/atom
Formation energy: 0.029 eV/atom
Magnetization: 1.83 μB per atom
Density of states at the Fermi level: 6.2 states/eV per cell
Electronic total energy: -6.868 eV per atom

a = 3.5121 Å, b = 3.5121 Å, c = 9.9526 Å
α = 90.00°, β = 90.00°, γ = 90.00°
Last column: magnetic moment on the atom in μB.
Fractional positions:
Gd 0.5000 0.5000 0.0000  7.15
Tm 0.0000 0.0000 0.7469  -0.01
Tm 0.0000 0.0000 0.2531  -0.01
Er 0.5000 0.5000 0.5000  -0.02

---

No. 8
DFT (PBE) results for a relaxed GdEr2Tm crystal.

Energy above the most stable polymorph in this dataset: 0.003 eV/atom
Formation energy: 0.028 eV/atom
Magnetization: 1.82 μB per atom
Density of states at the Fermi level: 6.1 states/eV per cell
Electronic total energy: -6.892 eV per atom

a = 3.5160 Å, b = 3.5160 Å, c = 9.9706 Å
α = 90.00°, β = 90.00°, γ = 90.00°
Last column: magnetic moment on the atom in μB.
Fractional positions:
Gd 0.5000 0.5000 0.0000  7.15
Tm 0.5000 0.5000 0.5000  -0.03
Er 0.0000 0.0000 0.7464  -0.02
Er 0.0000 0.0000 0.2536  -0.02

---

No. 9
DFT (PBE) results for a relaxed GdErTm2 crystal.

Energy above the most stable polymorph in this dataset: 0.092 eV/atom
Formation energy: 0.119 eV/atom
Magnetization: 2.06 μB per atom
Density of states at the Fermi level: 8.5 states/eV per cell
Electronic total energy: -6.778 eV per atom

a = 5.6065 Å, b = 5.6065 Å, c = 5.6065 Å
α = 60.00°, β = 60.00°, γ = 60.00°
Last column: magnetic moment on the atom in μB.
Fractional positions:
Gd 0.5000 0.5000 0.5000  7.26
Tm 0.2500 0.2500 0.2500  0.19
Tm 0.7500 0.7500 0.7500  0.19
Er 0.0000 0.0000 0.0000  0.15

---

No. 10
DFT (PBE) results for a relaxed GdErTm2 crystal.

Energy above the most stable polymorph in this dataset: 0.002 eV/atom
Formation energy: 0.028 eV/atom
Magnetization: 1.82 μB per atom
Density of states at the Fermi level: 6.2 states/eV per cell
Electronic total energy: -6.868 eV per atom

a = 3.5186 Å, b = 3.5186 Å, c = 11.6266 Å
α = 81.30°, β = 81.30°, γ = 60.00°
Last column: magnetic moment on the atom in μB.
Fractional positions:
Gd 0.5000 0.5000 0.5000  -7.15
Tm 0.7491 0.7491 0.7526  0.02
Tm 0.2509 0.2509 0.2474  0.02
Er 0.0000 0.0000 0.0000  0.04

---

No. 11
DFT (PBE) results for a relaxed GdYErTm crystal.

Formation energy: 0.117 eV/atom
Magnetization: 2.09 μB per atom
Density of states at the Fermi level: 8.6 states/eV per cell
Electronic total energy: -7.278 eV per atom

a = 5.6434 Å, b = 5.6434 Å, c = 5.6434 Å
α = 60.00°, β = 60.00°, γ = 60.00°
Last column: magnetic moment on the atom in μB.
Fractional positions:
Gd 0.2500 0.2500 0.2500  7.27
Y 0.7500 0.7500 0.7500  0.12
Tm 0.0000 0.0000 0.0000  0.20
Er 0.5000 0.5000 0.5000  0.21

---

No. 12
DFT (PBE) results for a relaxed GdErTmZn crystal.

Formation energy: 0.027 eV/atom
Magnetization: 1.90 μB per atom
Density of states at the Fermi level: 4.4 states/eV per cell
Electronic total energy: -6.071 eV per atom

a = 5.2997 Å, b = 5.2997 Å, c = 5.2997 Å
α = 60.00°, β = 60.00°, γ = 60.00°
Last column: magnetic moment on the atom in μB.
Fractional positions:
Gd 0.2500 0.2500 0.2500  7.17
Zn 0.0000 0.0000 0.0000  -0.01
Tm 0.5000 0.5000 0.5000  0.15
Er 0.7500 0.7500 0.7500  0.10

---

No. 13
DFT (PBE) results for a relaxed GdErV4 crystal.

Formation energy: 0.360 eV/atom
Magnetization: 1.43 μB per atom
Density of states at the Fermi level: 12.8 states/eV per cell
Electronic total energy: -8.827 eV per atom

a = 5.3870 Å, b = 5.3870 Å, c = 5.3870 Å
α = 60.00°, β = 60.00°, γ = 60.00°
Last column: magnetic moment on the atom in μB.
Fractional positions:
V 0.6298 0.6298 0.1105  -0.17
V 0.6298 0.1105 0.6298  -0.17
V 0.6298 0.6298 0.6298  -0.17
V 0.1105 0.6298 0.6298  -0.17
Gd 0.2500 0.2500 0.2500  -7.23
Er 0.0000 0.0000 0.0000  -0.13

---

No. 14
DFT (PBE) results for a relaxed Gd2ErW crystal.

Formation energy: 0.820 eV/atom
Magnetization: 3.59 μB per atom
Density of states at the Fermi level: 6.0 states/eV per cell
Electronic total energy: -10.600 eV per atom

a = 3.2055 Å, b = 3.2055 Å, c = 11.7740 Å
α = 82.18°, β = 82.18°, γ = 60.00°
Last column: magnetic moment on the atom in μB.
Fractional positions:
Gd 0.0807 0.0807 0.7578  7.17
Gd 0.9193 0.9193 0.2422  7.17
W 0.0000 0.0000 0.0000  -0.15
Er 0.5000 0.5000 0.5000  -0.10

---

No. 15
DFT (PBE) results for a relaxed GdY2Er crystal.

Energy above the most stable polymorph in this dataset: 0.090 eV/atom
Formation energy: 0.117 eV/atom
Magnetization: 2.23 μB per atom
Density of states at the Fermi level: 8.3 states/eV per cell
Electronic total energy: -7.776 eV per atom

a = 5.6811 Å, b = 5.6811 Å, c = 5.6811 Å
α = 60.00°, β = 60.00°, γ = 60.00°
Last column: magnetic moment on the atom in μB.
Fractional positions:
Y 0.2500 0.2500 0.2500  0.21
Y 0.7500 0.7500 0.7500  0.21
Gd 0.5000 0.5000 0.5000  7.34
Er 0.0000 0.0000 0.0000  0.26